1.
The following is a DFT calculation (GGA-PBE) of an optimized crystal structure of CrFe2IrC.

The space group is P4/mmm, No. 123.

abc: 3.8013 3.8013 3.8652
angles: 90.00 90.00 90.00
Closest atoms and distances in Å follow each position.
Positions (direct):
Cr  0.0000  0.0000  0.5000  2 C 1.93
C  0.0000  0.0000  0.0000  4 Fe 1.90, 2 Cr 1.93
Ir  0.5000  0.5000  0.5000  4 Cr 2.69, 8 Fe 2.71
Fe  0.0000  0.5000  0.0000  2 C 1.90
Fe  0.5000  0.0000  0.0000  2 C 1.90



2.
The following is a DFT calculation (GGA-PBE) of an optimized crystal structure of LaCrFeC2.

The space group is I-4m2, No. 119.

abc: 3.4744 3.4744 5.9091
angles: 107.10 107.10 90.00
Closest atoms and distances in Å follow each position.
Positions (direct):
La  0.0000  0.0000  0.0000  8 C 3.00, 4 Cr 3.20, 4 Fe 3.20
Cr  0.2500  0.7500  0.5000  4 C 1.99
Fe  0.7500  0.2500  0.5000  4 C 1.99
C  0.6603  0.6603  0.3206  2 Cr 1.99, 2 Fe 1.99
C  0.3397  0.3397  0.6794  2 Cr 1.99, 2 Fe 1.99



3.
The following is a DFT calculation (GGA-PBE) of an optimized crystal structure of LiCr2FeC.

The space group is P4/mmm, No. 123.

abc: 3.8108 3.6886 3.8108
angles: 90.00 90.00 90.00
Closest atoms and distances in Å follow each position.
Positions (direct):
Cr  0.0000  0.0000  0.5000  2 C 1.91
Cr  0.5000  0.0000  0.0000  2 C 1.91
C  0.0000  0.0000  0.0000  2 Li 1.84, 4 Cr 1.91
Fe  0.5000  0.5000  0.5000  8 Cr 2.65, 4 Li 2.69
Li  0.0000  0.5000  0.0000  2 C 1.84



Total magnetization: 2.40, 1.85, 1.49 (μB per cell)
Raw total energy: -0.650, -0.620, -0.537 (Ry per atom)